(1)
Entry from the Alexandria database: a relaxed structure of SbAsIr2 (PBE).

a = 2.9518 Å, b = 5.0919 Å, c = 4.6224 Å
α = 90.00°, β = 90.00°, γ = 90.00°
Last column: nearest neighbours and their distance in Å.
Fractional coordinates of all 4 atoms:
Sb 0.5000 0.0000 0.5000  4 Ir 2.74, 4 As 2.94, 2 Sb 2.95
As 0.0000 0.5000 0.5000  4 Ir 2.74, 4 Sb 2.94, 2 As 2.95
Ir 0.0000 0.0000 0.0000  4 Sb 2.74, 6 Ir 2.94-2.95
Ir 0.5000 0.5000 0.0000  4 As 2.74, 6 Ir 2.94-2.95

- Total magnetization: 0.0 μB/f.u.
- Formation energy (no corrections): 0.4896 eV per atom
- Symmetry: Pmmm, No. 47
- DOS(E_F): 0.77 states/eV/atom

(2)
Entry from the Alexandria database: a relaxed structure of La6PdPt3 (PBE).

a = 4.2251 Å, b = 12.8823 Å, c = 12.2057 Å
α = 111.68°, β = 90.00°, γ = 90.00°
Last column: nearest neighbours and their distance in Å.
Fractional coordinates of all 20 atoms:
La 0.7500 0.4368 0.5909  3 Pt 2.90-2.94
La 0.2500 0.5632 0.4091  3 Pt 2.90-2.94
La 0.7500 0.9378 0.1010  3 Pt 2.95-3.01
La 0.2500 0.0622 0.8990  3 Pt 2.95-3.01
La 0.7500 0.3962 0.0586  4 Pt 2.93-3.11
La 0.2500 0.6038 0.9414  4 Pt 2.93-3.11
La 0.7500 0.7360 0.2620  3 Pt 2.95-3.00, 2 Pd 3.13
La 0.2500 0.2640 0.7380  3 Pt 2.95-3.00, 2 Pd 3.13
La 0.7500 0.0984 0.4446  2 Pt 2.98, 3 Pd 3.08-3.19
La 0.2500 0.9016 0.5554  2 Pt 2.98, 3 Pd 3.08-3.19
La 0.7500 0.7554 0.7513  3 Pt 2.90-2.96
La 0.2500 0.2446 0.2487  3 Pt 2.90-2.96
Pd 0.7500 0.0734 0.6949  7 La 3.08-3.31
Pd 0.2500 0.9266 0.3051  7 La 3.08-3.31
Pt 0.7500 0.4399 0.8327  6 La 2.93-3.01
Pt 0.2500 0.5601 0.1673  6 La 2.93-3.01
Pt 0.7500 0.7263 0.4995  6 La 2.90-2.98
Pt 0.2500 0.2737 0.5005  6 La 2.90-2.98
Pt 0.7500 0.1612 0.0752  6 La 2.90-3.11
Pt 0.2500 0.8388 0.9248  6 La 2.90-3.11

- Total magnetization: 0.0 μB/f.u.
- Symmetry: P2_1/m, No. 11
- Energy of formation: -873 meV/atom
- DOS(E_F): 0.96 states/eV/atom

(3)
Entry from the Alexandria database: a relaxed structure of Hf12CoBi6 (PBE).

a = 8.0210 Å, b = 8.0210 Å, c = 8.0210 Å
α = 101.14°, β = 101.14°, γ = 101.14°
Last column: nearest neighbours and their distance in Å.
Fractional coordinates of all 19 atoms:
Hf 0.7780 0.5935 0.4930  4 Bi 2.95-3.26, 5 Hf 3.06-3.19
Hf 0.4930 0.7780 0.5935  4 Bi 2.95-3.26, 5 Hf 3.06-3.19
Hf 0.5935 0.4930 0.7780  4 Bi 2.95-3.26, 5 Hf 3.06-3.19
Hf 0.2220 0.4065 0.5070  4 Bi 2.95-3.26, 5 Hf 3.06-3.19
Hf 0.5070 0.2220 0.4065  4 Bi 2.95-3.26, 5 Hf 3.06-3.19
Hf 0.4065 0.5070 0.2220  4 Bi 2.95-3.26, 5 Hf 3.06-3.19
Hf 0.0602 0.0238 0.3109  1 Co 2.41
Hf 0.9762 0.6891 0.9398  1 Co 2.41
Hf 0.6891 0.9398 0.9762  1 Co 2.41
Hf 0.9398 0.9762 0.6891  1 Co 2.41
Hf 0.0238 0.3109 0.0602  1 Co 2.41
Hf 0.3109 0.0602 0.0238  1 Co 2.41
Co 0.0000 0.0000 0.0000  6 Hf 2.41
Bi 0.6654 0.8985 0.3302  7 Hf 2.95-3.26
Bi 0.6698 0.3346 0.1015  7 Hf 2.95-3.26
Bi 0.1015 0.6698 0.3346  7 Hf 2.95-3.26
Bi 0.3346 0.1015 0.6698  7 Hf 2.95-3.26
Bi 0.3302 0.6654 0.8985  7 Hf 2.95-3.26
Bi 0.8985 0.3302 0.6654  7 Hf 2.95-3.26

- Total magnetization: 0.0 μB/f.u.
- Symmetry: R-3, No. 148
- Energy of formation: 115 meV/atom
- DOS(E_F): 1.26 states/eV/atom

(4)
Entry from the Alexandria database: a relaxed structure of Ta4BeHg (PBE).

a = 5.4579 Å, b = 5.4579 Å, c = 5.4579 Å
α = 60.00°, β = 60.00°, γ = 60.00°
Last column: nearest neighbours and their distance in Å.
Fractional coordinates of all 6 atoms:
Ta 0.8720 0.3760 0.3760  6 Ta 2.71-2.75
Ta 0.3760 0.3760 0.8720  6 Ta 2.71-2.75
Ta 0.3760 0.8720 0.3760  6 Ta 2.71-2.75
Ta 0.3760 0.3760 0.3760  6 Ta 2.71-2.75
Be 0.7500 0.7500 0.7500  12 Ta 3.20, 4 Hg 3.34
Hg 0.0000 0.0000 0.0000  12 Ta 3.20, 4 Be 3.34

- Total magnetization: 0.0 μB/f.u.
- Symmetry: F-43m, No. 216
- Energy of formation: 752 meV/atom
- DOS(E_F): 0.84 states/eV/atom

> Which value of DOS(E_F) does entry 1 give?

0.77 states/eV/atom

> Look up the total magnetization of the fourth one.

0.0 μB/f.u.